1.
Compound: CuTePb2S4
Source: the Alexandria database
Functional: PBE
Structure: relaxed

a b c (Å): 10.909 10.954 8.546
angles (deg): 90.00 129.61 90.00
Space group C2/c (No. 15)
One atom of each set of equivalent atoms:
Cu  0.250  0.250  0.000 (multiplicity 4)
Te  0.000  0.000  0.000 (multiplicity 4)
Pb  0.000  0.500  0.000 (multiplicity 4)
Pb  0.250  0.250  0.500 (multiplicity 4)
S  0.054  0.242  0.049 (multiplicity 8)
S  0.237  0.474  0.954 (multiplicity 8)

Properties
Magnetization (μB/atom): 0.000
Formation energy (no corrections) (eV per atom): -0.15
VASP energy (eV per cell): -129.41

---

2.
Compound: ThCuPb2S5
Source: the Alexandria database
Functional: PBE
Structure: relaxed

a b c (Å): 4.055 17.683 12.697
angles (deg): 90.00 90.00 90.00
Space group Cmc2_1 (No. 36)
One atom of each set of equivalent atoms:
Th  0.000  0.199  0.000 (multiplicity 4)
Cu  0.000  0.439  0.393 (multiplicity 4)
Pb  0.000  0.078  0.628 (multiplicity 4)
Pb  0.000  0.130  0.310 (multiplicity 4)
S  0.000  0.039  0.976 (multiplicity 4)
S  0.000  0.298  0.647 (multiplicity 4)
S  0.000  0.306  0.352 (multiplicity 4)
S  0.000  0.356  0.977 (multiplicity 4)
S  0.000  0.495  0.741 (multiplicity 4)

Properties
Magnetization (μB/atom): 0.000
Formation energy (no corrections) (eV per atom): -0.85
VASP energy (eV per cell): -188.93

---

3.
Compound: TiCuPbS2
Source: the Alexandria database
Functional: PBE
Structure: relaxed

a b c (Å): 4.506 4.506 5.198
angles (deg): 90.00 90.00 90.00
Space group P4/mmm (No. 123)
One atom of each set of equivalent atoms:
Ti  0.000  0.000  0.000 (multiplicity 1)
Cu  0.500  0.500  0.500 (multiplicity 1)
Pb  0.500  0.500  0.000 (multiplicity 1)
S  0.000  0.500  0.500 (multiplicity 2)

Properties
Magnetization (μB/atom): 0.000
Formation energy (no corrections) (eV per atom): 0.48
VASP energy (eV per cell): -21.58

---

4.
Compound: UCuPbS4
Source: the Alexandria database
Functional: PBE
Structure: relaxed

a b c (Å): 6.408 6.053 8.217
angles (deg): 90.00 107.58 90.00
Space group P2_1/m (No. 11)
One atom of each set of equivalent atoms:
U  0.236  0.250  0.053 (multiplicity 2)
Cu  0.235  0.750  0.835 (multiplicity 2)
Pb  0.275  0.250  0.552 (multiplicity 2)
S  0.025  0.514  0.216 (multiplicity 4)
S  0.432  0.750  0.643 (multiplicity 2)
S  0.454  0.750  0.104 (multiplicity 2)

Properties
Magnetization (μB/atom): 0.166
Formation energy (no corrections) (eV per atom): -0.78
VASP energy (eV per cell): -82.12

---

5.
Compound: UCu2Pb2S6
Source: the Alexandria database
Functional: PBE
Structure: relaxed

a b c (Å): 6.7958 6.7958 6.9581
angles (deg): 90.00 90.00 120.00
Space group P-3 (No. 147)
One atom of each set of equivalent atoms:
U  0.0000  0.0000  0.0000 (multiplicity 1)
Cu  0.3333  0.6667  0.8198 (multiplicity 2)
Pb  0.3333  0.6667  0.3852 (multiplicity 2)
S  0.0350  0.3201  0.7754 (multiplicity 6)

Properties
Magnetization (μB/atom): 0.007
Formation energy (no corrections) (eV per atom): -0.57
VASP energy (eV per cell): -57.89

---

6.
Compound: UCuPb2S5
Source: the Alexandria database
Functional: PBE
Structure: relaxed

a b c (Å): 3.972 17.164 12.735
angles (deg): 90.00 90.00 90.00
Space group Cmc2_1 (No. 36)
One atom of each set of equivalent atoms:
U  0.000  0.204  0.000 (multiplicity 4)
Cu  0.000  0.430  0.409 (multiplicity 4)
Pb  0.000  0.083  0.638 (multiplicity 4)
Pb  0.000  0.120  0.300 (multiplicity 4)
S  0.000  0.054  0.006 (multiplicity 4)
S  0.000  0.284  0.638 (multiplicity 4)
S  0.000  0.300  0.363 (multiplicity 4)
S  0.000  0.357  0.976 (multiplicity 4)
S  0.000  0.499  0.757 (multiplicity 4)

Properties
Magnetization (μB/atom): 0.111
Formation energy (no corrections) (eV per atom): -0.78
VASP energy (eV per cell): -202.01

---

7.
Compound: U3Cu4PbS12
Source: the Alexandria database
Functional: PBE
Structure: relaxed

a b c (Å): 13.4260 13.4260 9.5909
angles (deg): 90.00 90.00 120.00
Space group R32 (No. 155, hexagonal axes)
One atom of each set of equivalent atoms:
U  0.0000  0.5597  0.0000 (multiplicity 9)
Cu  0.0000  0.0000  0.5000 (multiplicity 3)
Cu  0.0000  0.4289  0.5000 (multiplicity 9)
Pb  0.0000  0.0000  0.0000 (multiplicity 3)
S  0.0000  0.5977  0.5000 (multiplicity 9)
S  0.0000  0.8392  0.5000 (multiplicity 9)
S  0.0524  0.2100  0.1834 (multiplicity 18)

Properties
Magnetization (μB/atom): 0.000
Formation energy (no corrections) (eV per atom): -0.70
VASP energy (eV per cell): -352.54

---

8.
Compound: VCuPb2S
Source: the Alexandria database
Functional: PBE
Structure: relaxed

a b c (Å): 5.436 5.436 4.131
angles (deg): 90.00 90.00 90.00
Space group P4/mmm (No. 123)
One atom of each set of equivalent atoms:
V  0.000  0.000  0.000 (multiplicity 1)
Cu  0.500  0.500  0.500 (multiplicity 1)
Pb  0.000  0.500  0.500 (multiplicity 2)
S  0.500  0.500  0.000 (multiplicity 1)

Properties
Magnetization (μB/atom): 0.000
Formation energy (no corrections) (eV per atom): 0.89
VASP energy (eV per cell): -20.29

---

9.
Compound: YCuPbS3
Source: the Alexandria database
Functional: PBE
Structure: relaxed

a b c (Å): 8.304 3.930 8.661
angles (deg): 90.00 103.48 90.00
Space group P2_1/m (No. 11)
One atom of each set of equivalent atoms:
Y  0.172  0.250  0.169 (multiplicity 2)
Cu  0.418  0.750  0.416 (multiplicity 2)
Pb  0.313  0.750  0.765 (multiplicity 2)
S  0.063  0.250  0.839 (multiplicity 2)
S  0.285  0.250  0.489 (multiplicity 2)
S  0.393  0.750  0.138 (multiplicity 2)

Properties
Magnetization (μB/atom): 0.000
Formation energy (no corrections) (eV per atom): -1.10
VASP energy (eV per cell): -66.47

---

10.
Compound: YCuPbS3
Source: the Alexandria database
Functional: PBE
Structure: relaxed

a b c (Å): 3.929 10.284 6.830
angles (deg): 90.00 106.71 90.00
Space group P2_1/m (No. 11)
One atom of each set of equivalent atoms:
Y  0.000  0.000  0.000 (multiplicity 2)
Cu  0.471  0.250  0.941 (multiplicity 2)
Pb  0.246  0.750  0.490 (multiplicity 2)
S  0.077  0.250  0.153 (multiplicity 2)
S  0.363  0.069  0.726 (multiplicity 4)

Properties
Magnetization (μB/atom): 0.000
Formation energy (no corrections) (eV per atom): -1.11
VASP energy (eV per cell): -66.60

---

11.
Compound: YCuPbS3
Source: the Alexandria database
Functional: PBE
Structure: relaxed

a b c (Å): 10.320 3.932 13.077
angles (deg): 90.00 90.00 90.00
Space group Pnma (No. 62)
One atom of each set of equivalent atoms:
Y  0.023  0.250  0.241 (multiplicity 4)
Cu  0.231  0.250  0.723 (multiplicity 4)
Pb  0.218  0.750  0.501 (multiplicity 4)
S  0.045  0.250  0.619 (multiplicity 4)
S  0.097  0.750  0.109 (multiplicity 4)
S  0.232  0.750  0.827 (multiplicity 4)

Properties
Magnetization (μB/atom): 0.000
Formation energy (no corrections) (eV per atom): -1.11
VASP energy (eV per cell): -133.28

---

12.
Compound: Y2CuPbS4
Source: the Alexandria database
Functional: PBE
Structure: relaxed

a b c (Å): 3.887 13.175 13.788
angles (deg): 90.00 90.00 90.00
Space group Cmcm (No. 63)
One atom of each set of equivalent atoms:
Y  0.000  0.131  0.061 (multiplicity 8)
Cu  0.000  0.339  0.750 (multiplicity 4)
Pb  0.000  0.381  0.250 (multiplicity 4)
S  0.000  0.058  0.250 (multiplicity 4)
S  0.000  0.227  0.616 (multiplicity 8)
S  0.000  0.500  0.000 (multiplicity 4)

Properties
Magnetization (μB/atom): 0.000
Formation energy (no corrections) (eV per atom): -1.32
VASP energy (eV per cell): -191.27

---

13.
Compound: YCuPbS2
Source: the Alexandria database
Functional: PBE
Structure: relaxed

a b c (Å): 4.647 4.647 5.220
angles (deg): 90.00 90.00 90.00
Space group P4/mmm (No. 123)
One atom of each set of equivalent atoms:
Y  0.000  0.000  0.000 (multiplicity 1)
Cu  0.000  0.000  0.500 (multiplicity 1)
Pb  0.500  0.500  0.000 (multiplicity 1)
S  0.000  0.500  0.500 (multiplicity 2)

Properties
Magnetization (μB/atom): 0.000
Formation energy (no corrections) (eV per atom): -0.06
VASP energy (eV per cell): -22.85

---

14.
Compound: ZnCuPb2S
Source: the Alexandria database
Functional: PBE
Structure: relaxed

a b c (Å): 5.787 5.787 4.116
angles (deg): 90.00 90.00 90.00
Space group P4/mmm (No. 123)
One atom of each set of equivalent atoms:
Zn  0.000  0.000  0.000 (multiplicity 1)
Cu  0.500  0.500  0.000 (multiplicity 1)
Pb  0.000  0.500  0.500 (multiplicity 2)
S  0.500  0.500  0.500 (multiplicity 1)

Properties
Magnetization (μB/atom): 0.000
Formation energy (no corrections) (eV per atom): 0.22
VASP energy (eV per cell): -15.83

---

15.
Compound: Zn2CuPbS
Source: the Alexandria database
Functional: PBE
Structure: relaxed

a b c (Å): 5.207 5.207 4.975
angles (deg): 90.00 90.00 90.00
Space group P4/mmm (No. 123)
One atom of each set of equivalent atoms:
Zn  0.000  0.500  0.000 (multiplicity 2)
Cu  0.000  0.000  0.500 (multiplicity 1)
Pb  0.000  0.000  0.000 (multiplicity 1)
S  0.500  0.500  0.500 (multiplicity 1)

Properties
Magnetization (μB/atom): 0.204
Formation energy (no corrections) (eV per atom): 0.84
VASP energy (eV per cell): -10.30

---

16.
Compound: ZrCuPb2S5
Source: the Alexandria database
Functional: PBE
Structure: relaxed

a b c (Å): 3.789 17.069 12.583
angles (deg): 90.00 90.00 90.00
Space group Cmc2_1 (No. 36)
One atom of each set of equivalent atoms:
Zr  0.000  0.197  0.000 (multiplicity 4)
Cu  0.000  0.435  0.420 (multiplicity 4)
Pb  0.000  0.109  0.642 (multiplicity 4)
Pb  0.000  0.120  0.298 (multiplicity 4)
S  0.000  0.046  0.019 (multiplicity 4)
S  0.000  0.288  0.642 (multiplicity 4)
S  0.000  0.305  0.360 (multiplicity 4)
S  0.000  0.350  0.983 (multiplicity 4)
S  0.000  0.498  0.262 (multiplicity 4)

Properties
Magnetization (μB/atom): 0.000
Formation energy (no corrections) (eV per atom): -0.74
VASP energy (eV per cell): -189.49

---

17.
Compound: ZrCuPbS4
Source: the Alexandria database
Functional: PBE
Structure: relaxed

a b c (Å): 6.545 5.492 8.413
angles (deg): 90.00 108.57 90.00
Space group P2_1/m (No. 11)
One atom of each set of equivalent atoms:
Zr  0.240  0.250  0.446 (multiplicity 2)
Cu  0.249  0.750  0.678 (multiplicity 2)
Pb  0.223  0.250  0.944 (multiplicity 2)
S  0.052  0.750  0.856 (multiplicity 2)
S  0.053  0.750  0.400 (multiplicity 2)
S  0.474  0.513  0.296 (multiplicity 4)

Properties
Magnetization (μB/atom): 0.000
Formation energy (no corrections) (eV per atom): -0.76
VASP energy (eV per cell): -76.38

---

18.
Compound: CuSb2Pb
Source: the Alexandria database
Functional: PBE
Structure: relaxed

a b c (Å): 6.551 9.334 3.341
angles (deg): 90.00 90.00 90.00
Space group Cmmm (No. 65)
One atom of each set of equivalent atoms:
Cu  0.000  0.000  0.000 (multiplicity 2)
Sb  0.250  0.250  0.500 (multiplicity 4)
Pb  0.000  0.500  0.000 (multiplicity 2)

Properties
Magnetization (μB/atom): 0.000
Formation energy (no corrections) (eV per atom): 0.36
VASP energy (eV per cell): -29.20

---

19.
Compound: CuSb2Pb
Source: the Alexandria database
Functional: PBE
Structure: relaxed

a b c (Å): 6.164 6.326 6.544
angles (deg): 92.28 104.89 118.21
Space group P-1 (No. 2)
One atom of each set of equivalent atoms:
Cu  0.068  0.341  0.472 (multiplicity 2)
Sb  0.157  0.664  0.217 (multiplicity 2)
Sb  0.274  0.126  0.734 (multiplicity 2)
Pb  0.401  0.270  0.247 (multiplicity 2)

Properties
Magnetization (μB/atom): 0.000
Formation energy (no corrections) (eV per atom): 0.06
VASP energy (eV per cell): -31.62

---

20.
Compound: Cu2SbPb
Source: the Alexandria database
Functional: PBE
Structure: relaxed

a b c (Å): 3.792 4.419 4.860
angles (deg): 90.00 90.00 90.00
Space group Pmmm (No. 47)
One atom of each set of equivalent atoms:
Cu  0.000  0.000  0.000 (multiplicity 1)
Cu  0.000  0.500  0.500 (multiplicity 1)
Sb  0.500  0.000  0.500 (multiplicity 1)
Pb  0.500  0.500  0.000 (multiplicity 1)

Properties
Magnetization (μB/atom): 0.000
Formation energy (no corrections) (eV per atom): 0.29
VASP energy (eV per cell): -14.86

---

21.
Compound: CuSb2Pb
Source: the Alexandria database
Functional: PBE
Structure: relaxed

a b c (Å): 4.1932 4.1932 6.9378
angles (deg): 90.00 90.00 120.00
Space group P-3m1 (No. 164)
One atom of each set of equivalent atoms:
Cu  0.0000  0.0000  0.0000 (multiplicity 1)
Sb  0.3333  0.6667  0.8245 (multiplicity 2)
Pb  0.0000  0.0000  0.5000 (multiplicity 1)

Properties
Magnetization (μB/atom): 0.000
Formation energy (no corrections) (eV per atom): 0.08
VASP energy (eV per cell): -15.71